1.
DFT (GGA-PBE) results for a geometry-optimized Cr5As structure.

Cell lengths 4.3830, 4.3830, 4.3695 Å; angles 90.00, 90.00, 120.00 degrees
Atoms (fractional coordinates):
As (0.0000, 0.0000, 0.5000)
Cr (0.0000, 0.6739, 0.0000)
Cr (0.3333, 0.6667, 0.5000)
Cr (0.6667, 0.3333, 0.5000)
Cr (0.6739, 0.0000, 0.0000)
Cr (0.3261, 0.3261, 0.0000)

Energy   -8.59 eV per atom
Space-group type   P-62m (189)
Energy of formation from the pure elements   0.200 eV/atom
Total magnetization   0.00 Bohr magnetons per cell

2.
DFT (GGA-PBE) results for a geometry-optimized Zr2ZnHg2 structure.

Cell lengths 7.4505, 7.4505, 4.1073 Å; angles 90.00, 90.00, 90.00 degrees
Site moments in Bohr magnetons follow the coordinates.
Atoms (fractional coordinates):
Hg (0.3493, 0.1507, 0.5000)  0.01
Hg (0.8493, 0.3493, 0.5000)  0.00
Hg (0.6507, 0.8493, 0.5000)  0.01
Hg (0.1507, 0.6507, 0.5000)  0.00
Zn (0.5000, 0.5000, 0.0000)  0.00
Zn (0.0000, 0.0000, 0.0000)  0.00
Zr (0.3480, 0.8480, 0.0000)  0.10
Zr (0.6520, 0.1520, 0.0000)  0.10
Zr (0.1520, 0.3480, 0.0000)  0.10
Zr (0.8480, 0.6520, 0.0000)  0.10

Energy   -3.69 eV per atom
Space-group type   P4/mbm (127)
Energy of formation from the pure elements   0.109 eV/atom
Total magnetization   0.59 Bohr magnetons per cell